VASP calculation (meta-GGA SCAN) on a PBEsol-optimized structure of NiIr2Rh.

abc: 2.6741 2.6741 8.6361
angles: 81.11 81.11 60.00
Atoms (fractional coordinates):
Ir  0.7533  0.7533  0.7404
Ir  0.9997  0.9997  0.0006
Ni  0.5001  0.5001  0.5000
Rh  0.2468  0.2468  0.2591

## Properties
The value obtained for the formation energy is 0.014 eV per atom. As for the symmetry: No. 160. Its density of states at the Fermi level is 0.9043 states/eV/atom.

---

VASP calculation (meta-GGA SCAN) on a PBEsol-optimized structure of ZrTaNb2.

abc: 4.7112 4.7112 4.7112
angles: 60.00 60.00 60.00
Atoms (fractional coordinates):
Nb  0.7500  0.7500  0.7500
Nb  0.2500  0.2500  0.2500
Ta  0.5000  0.5000  0.5000
Zr  0.0000  0.0000  0.0000

## Properties
The value obtained for the formation energy is 0.072 eV per atom. As for the symmetry: No. 225. Its density of states at the Fermi level is 1.6851 states/eV/atom.

---

VASP calculation (meta-GGA SCAN) on a PBEsol-optimized structure of Be2AuSe.

abc: 3.1218 4.2302 4.2302
angles: 100.05 90.00 90.00
Atoms (fractional coordinates):
Au  0.5000  0.5000  0.5000
Be  0.0000  0.5000  0.0000
Be  0.0000  0.0000  0.5000
Se  0.5000  0.0000  0.0000

## Properties
The calculation puts the uncorrected formation energy at 0.25 eV/atom. As for the symmetry: No. 65. Its density of states at the Fermi level is 0.3154 states/eV/atom.

---

VASP calculation (meta-GGA SCAN) on a PBEsol-optimized structure of DySe2.

abc: 4.0091 4.0091 8.1932
angles: 90.00 90.00 90.00
Atoms (fractional coordinates):
Se  0.5000  0.0000  0.3694
Se  0.0000  0.5000  0.6306
Se  0.0000  0.0000  0.0000
Se  0.5000  0.5000  0.0000
Dy  0.5000  0.0000  0.7275
Dy  0.0000  0.5000  0.2725

## Properties
The calculation puts the uncorrected formation energy at -1.74 eV/atom. As for the symmetry: No. 129. Its density of states at the Fermi level is 0.0941 states/eV/atom.

---

VASP calculation (meta-GGA SCAN) on a PBEsol-optimized structure of SrCaTe2.

abc: 3.9478 5.5807 5.5807
angles: 90.01 90.11 90.11
Atoms (fractional coordinates):
Te  0.0000  0.5000  0.0000
Te  0.0000  0.0000  0.5000
Ca  0.5000  0.0000  0.0000
Sr  0.5000  0.5000  0.5000

## Properties
The calculation puts the uncorrected formation energy at -1.57 eV/atom. As for the symmetry: No. 12. Its density of states at the Fermi level is 0.0063 states/eV/atom.

---

VASP calculation (meta-GGA SCAN) on a PBEsol-optimized structure of Cd2AgSe.

abc: 3.0574 3.0574 8.5162
angles: 90.00 90.00 90.02
Atoms (fractional coordinates):
Ag  0.5000  0.5000  0.2483
Cd  0.5000  0.5000  0.7551
Cd  0.0000  0.0000  0.0160
Se  0.0000  0.0000  0.4806

## Properties
The calculation puts the uncorrected formation energy at 0.11 eV/atom. As for the symmetry: No. 99. Its density of states at the Fermi level is 0.4388 states/eV/atom.

---

VASP calculation (meta-GGA SCAN) on a PBEsol-optimized structure of MoRh2Br.

abc: 3.8808 3.8808 3.9851
angles: 90.00 90.00 90.00
Atoms (fractional coordinates):
Rh  0.0000  0.5000  0.0000
Rh  0.5000  0.0000  0.0000
Mo  0.0000  0.0000  0.5000
Br  0.5000  0.5000  0.5000

## Properties
The calculation puts the uncorrected formation energy at 0.94 eV/atom. As for the symmetry: No. 123. Its density of states at the Fermi level is 0.8529 states/eV/atom.

---

VASP calculation (meta-GGA SCAN) on a PBEsol-optimized structure of LiBi12O20.

abc: 8.6136 8.6136 8.6136
angles: 109.47 109.47 109.47
Atoms (fractional coordinates):
O  0.8753  0.2560  0.6425
O  0.6294  0.0000  0.0000
O  0.0000  0.6294  0.0000
O  0.7440  0.6193  0.3865
O  0.6193  0.3865  0.7440
O  0.1247  0.7672  0.3807
O  0.7672  0.3807  0.1247
O  0.2328  0.3575  0.6135
O  0.6425  0.8753  0.2560
O  0.2560  0.6425  0.8753
O  0.0000  0.2392  0.0000
O  0.3807  0.1247  0.7672
O  0.7608  0.7608  0.7608
O  0.3575  0.6135  0.2328
O  0.2392  0.0000  0.0000
O  0.0000  0.0000  0.2392
O  0.3706  0.3706  0.3706
O  0.3865  0.7440  0.6193
O  0.0000  0.0000  0.6294
O  0.6135  0.2328  0.3575
Li  0.0000  0.0000  0.0000
Bi  0.6841  0.1690  0.8552
Bi  0.1448  0.3138  0.8288
Bi  0.8310  0.5151  0.6862
Bi  0.5151  0.6862  0.8310
Bi  0.3159  0.1712  0.4849
Bi  0.8552  0.6841  0.1690
Bi  0.4849  0.3159  0.1712
Bi  0.1712  0.4849  0.3159
Bi  0.8288  0.1448  0.3138
Bi  0.3138  0.8288  0.1448
Bi  0.1690  0.8552  0.6841
Bi  0.6862  0.8310  0.5151

## Properties
The calculation puts the uncorrected formation energy at -1.06 eV/atom. As for the symmetry: No. 197. Its density of states at the Fermi level is 0.6857 states/eV/atom.

---

VASP calculation (meta-GGA SCAN) on a PBEsol-optimized structure of InTc.

abc: 4.0406 4.0406 6.3378
angles: 71.41 71.41 60.00
Atoms (fractional coordinates):
Tc  0.3438  0.3438  0.9686
Tc  0.6562  0.6562  0.0314
In  0.1064  0.1064  0.6807
In  0.8936  0.8936  0.3193

## Properties
The value obtained for the formation energy is 0.444 eV per atom. As for the symmetry: No. 166. Its density of states at the Fermi level is 0.7063 states/eV/atom.

---

VASP calculation (meta-GGA SCAN) on a PBEsol-optimized structure of MnSe.

abc: 4.1107 4.1107 4.1107
angles: 60.00 60.00 60.00
Atoms (fractional coordinates):
Se  0.2500  0.2500  0.2500
Mn  0.0000  0.0000  0.0000

## Properties
The calculation puts the uncorrected formation energy at -0.91 eV/atom. As for the symmetry: No. 216.

---

VASP calculation (meta-GGA SCAN) on a PBEsol-optimized structure of BaY2Ag2.

abc: 5.3600 5.3600 6.7304
angles: 113.47 113.47 90.00
Atoms (fractional coordinates):
Y  0.6548  0.6548  0.3097
Y  0.3452  0.3452  0.6903
Ag  0.2500  0.7500  0.5000
Ag  0.7500  0.2500  0.5000
Ba  0.0000  0.0000  0.0000

## Properties
The value obtained for the formation energy is -0.031 eV per atom. As for the symmetry: No. 139. Its density of states at the Fermi level is 0.9069 states/eV/atom.

---

VASP calculation (meta-GGA SCAN) on a PBEsol-optimized structure of Li3HSe.

abc: 3.9011 3.9011 3.9011
angles: 90.00 90.00 90.00
Atoms (fractional coordinates):
Se  0.5000  0.5000  0.5000
Li  0.0000  0.5000  0.0000
Li  0.0000  0.0000  0.5000
Li  0.5000  0.0000  0.0000
H  0.0000  0.0000  0.0000

## Properties
For the electronic total energy, the calculation gives -7.1496 eV per atom. As for the symmetry: No. 221. Its density of states at the Fermi level is 0.0000 states/eV/atom.

---

VASP calculation (meta-GGA SCAN) on a PBEsol-optimized structure of SiTc2Ir.

abc: 2.7985 4.4247 4.4247
angles: 90.00 90.00 90.00
Atoms (fractional coordinates):
Ir  0.5000  0.5000  0.5000
Tc  0.0000  0.0000  0.5000
Tc  0.0000  0.5000  0.0000
Si  0.5000  0.0000  0.0000

## Properties
The calculation puts the uncorrected formation energy at -0.10 eV/atom. As for the symmetry: No. 123. Its density of states at the Fermi level is 0.8617 states/eV/atom.

---

VASP calculation (meta-GGA SCAN) on a PBEsol-optimized structure of TlMoIr2.

abc: 2.8720 4.8039 4.8039
angles: 106.14 90.00 90.00
Atoms (fractional coordinates):
Mo  0.5000  0.5000  0.5000
Ir  0.0000  0.5000  0.0000
Ir  0.0000  0.0000  0.5000
Tl  0.5000  0.0000  0.0000

## Properties
The value obtained for the formation energy is 0.406 eV per atom. As for the symmetry: No. 65. Its density of states at the Fermi level is 0.6044 states/eV/atom.

---

VASP calculation (meta-GGA SCAN) on a PBEsol-optimized structure of AgAs2OsBr.

abc: 4.8667 4.8667 4.9166
angles: 90.00 90.00 90.00
Atoms (fractional coordinates):
Os  0.5000  0.5000  0.5000
Ag  0.0000  0.0000  0.0000
As  0.5000  0.0000  0.0000
As  0.0000  0.5000  0.0000
Br  0.0000  0.0000  0.5000

## Properties
The calculation puts the uncorrected formation energy at 1.78 eV/atom. As for the symmetry: No. 123. Its density of states at the Fermi level is 0.6485 states/eV/atom.

---

VASP calculation (meta-GGA SCAN) on a PBEsol-optimized structure of FeW3.

abc: 2.6677 5.1259 5.1259
angles: 117.06 99.99 99.99
Atoms (fractional coordinates):
W  0.5000  0.5000  0.0000
W  0.5000  0.0000  0.5000
W  0.0000  0.5000  0.5000
Fe  0.0000  0.0000  0.0000

## Properties
The value obtained for the formation energy is 0.122 eV per atom. As for the symmetry: No. 166. Its density of states at the Fermi level is 0.6166 states/eV/atom.

---

VASP calculation (meta-GGA SCAN) on a PBEsol-optimized structure of TcIrRh2.

abc: 2.6726 4.6673 4.6673
angles: 110.22 90.00 90.00
Atoms (fractional coordinates):
Rh  0.0000  0.0000  0.5000
Rh  0.0000  0.5000  0.0000
Ir  0.5000  0.5000  0.5000
Tc  0.5000  0.0000  0.0000

## Properties
The value obtained for the formation energy is -0.079 eV per atom. As for the symmetry: No. 65. Its density of states at the Fermi level is 0.7305 states/eV/atom.

---

VASP calculation (meta-GGA SCAN) on a PBEsol-optimized structure of Li2As2Rh.

abc: 4.1657 6.1775 6.1775
angles: 90.00 90.00 90.00
Atoms (fractional coordinates):
As  0.0000  0.6388  0.1388
As  0.0000  0.3612  0.8612
As  0.0000  0.1388  0.3612
As  0.0000  0.8612  0.6388
Rh  0.0000  0.5000  0.5000
Rh  0.0000  0.0000  0.0000
Li  0.5000  0.6736  0.8264
Li  0.5000  0.1736  0.6736
Li  0.5000  0.8264  0.3264
Li  0.5000  0.3264  0.1736

## Properties
The value obtained for the formation energy is -0.710 eV per atom. As for the symmetry: No. 127. Its density of states at the Fermi level is 0.1904 states/eV/atom.

---

VASP calculation (meta-GGA SCAN) on a PBEsol-optimized structure of Ce2CuGe3.

abc: 4.2085 4.2085 7.8407
angles: 90.00 90.00 120.00
Atoms (fractional coordinates):
Cu  0.0000  0.0000  0.0000
Ce  0.3333  0.6667  0.2472
Ce  0.3333  0.6667  0.7528
Ge  0.6667  0.3333  0.5000
Ge  0.6667  0.3333  0.0000
Ge  0.0000  0.0000  0.5000

## Properties
The value obtained for the formation energy is -0.662 eV per atom. As for the symmetry: No. 187. Its density of states at the Fermi level is 1.1853 states/eV/atom.

---

VASP calculation (meta-GGA SCAN) on a PBEsol-optimized structure of SrY2Cr.

abc: 3.7044 3.7044 8.7901
angles: 90.00 90.00 90.00
Atoms (fractional coordinates):
Cr  0.0000  0.0000  0.4623
Y  0.5000  0.5000  0.2948
Y  0.0000  0.0000  0.0362
Sr  0.5000  0.5000  0.7067

## Properties
The value obtained for the formation energy is 0.239 eV per atom. As for the symmetry: No. 99. Its density of states at the Fermi level is 1.0221 states/eV/atom.